DFT (PBE) results for a relaxed ZnRe2SnF crystal.

Output
- N(E_F): 5.1 states/eV/f.u.
- Energy relative to the elements, uncorrected: 2.055 eV per atom
- V: 138.49 Å³ per cell

Cell lengths 5.1614, 5.1986, 5.1614 Å; angles 90.00, 90.00, 90.00 degrees
Site moments in Bohr magnetons follow the coordinates.
Sites, in units of the cell vectors:
Zn: 0.0000 0.5000 0.0000  0.02
Re: 0.0000 0.0000 0.5000  2.77
Re: 0.5000 0.0000 0.0000  2.70
Sn: 0.0000 0.0000 0.0000  -0.09
F: 0.5000 0.5000 0.5000  0.20

***

DFT (PBE) results for a relaxed NdSm2TmS5 crystal.

Output
- N(E_F): 5.4 states/eV/f.u.
- Energy relative to the elements, uncorrected: -1.454 eV per atom
- V: 244.77 Å³ per cell

Cell lengths 4.8343, 4.8343, 10.4734 Å; angles 90.00, 90.00, 90.00 degrees
Sites, in units of the cell vectors:
Sm: 0.5000 0.5000 0.6754
Sm: 0.5000 0.5000 0.3246
S: 0.0000 0.0000 0.2526
S: 0.5000 0.5000 0.0000
S: 0.0000 0.5000 0.5000
S: 0.0000 0.0000 0.7474
S: 0.5000 0.0000 0.5000
Tm: 0.0000 0.0000 0.5000
Nd: 0.0000 0.0000 0.0000